(1)
{"formula": "ReHg2Pt", "functional": "PBE", "state": "relaxed", "de_polymorph_mev_per_atom": 277, "formation_energy_ev_per_atom": 0.624, "spacegroup": "Immm (71)", "magnetic_moment_mub_per_atom": 0.23, "dft_energy_ev_per_cell": -16.597, "cell": [[-0.6072, -5.7408, 0.3902], [3.3329, -2.9370, 3.7072], [-4.1170, 3.9014, -1.1430]], "species": ["Hg", "Hg", "Pt", "Re"], "frac_coords": [[0.9993, 0.9993, 0.0000], [0.5007, 0.5007, 0.0000], [0.7500, 0.2500, 0.5000], [0.2500, 0.7500, 0.5000]]}

(2)
{"formula": "ReHg2Pt", "functional": "PBE", "state": "relaxed", "de_polymorph_mev_per_atom": 221, "formation_energy_ev_per_atom": 0.568, "spacegroup": "P2/m (10)", "magnetic_moment_mub_per_atom": 0.00, "dft_energy_ev_per_cell": -16.821, "cell": [[-2.3494, 0.2085, 1.5666], [0.7423, -4.9025, 1.7657], [3.0661, -1.5015, 4.7981]], "species": ["Hg", "Hg", "Pt", "Re"], "frac_coords": [[0.0000, 0.0000, 0.0000], [0.5000, 0.5000, 0.0000], [0.5000, 0.5000, 0.5000], [0.0000, 0.0000, 0.5000]]}

(3)
{"formula": "ReHg2Pt", "functional": "PBE", "state": "relaxed", "de_polymorph_mev_per_atom": 283, "formation_energy_ev_per_atom": 0.630, "spacegroup": "Pmmm (47)", "magnetic_moment_mub_per_atom": 0.28, "dft_energy_ev_per_cell": -16.574, "cell": [[2.8407, 0.0000, 0.0000], [0.0000, 5.1388, 0.0000], [0.0000, 0.0000, 5.0068]], "species": ["Hg", "Hg", "Pt", "Re"], "frac_coords": [[0.0000, 0.0000, 0.0000], [0.5000, 0.5000, 0.0000], [0.5000, 0.0000, 0.5000], [0.0000, 0.5000, 0.5000]]}

(4)
{"formula": "ReHgPt2", "functional": "PBE", "state": "relaxed", "formation_energy_ev_per_atom": -0.015, "spacegroup": "P4/mmm (123)", "magnetic_moment_mub_per_atom": 0.00, "dft_energy_ev_per_cell": -24.892, "cell": [[2.8185, 0.0000, 0.0000], [0.0000, 2.8185, 0.0000], [0.0000, 0.0000, 8.4059]], "species": ["Hg", "Pt", "Pt", "Re"], "frac_coords": [[0.5000, 0.5000, 0.7500], [0.0000, 0.0000, 0.0275], [0.0000, 0.0000, 0.4725], [0.5000, 0.5000, 0.2500]]}

(5)
{"formula": "ReHg2Pt", "functional": "PBE", "state": "relaxed", "de_polymorph_mev_per_atom": 300, "formation_energy_ev_per_atom": 0.647, "spacegroup": "Cmmm (65)", "magnetic_moment_mub_per_atom": 0.00, "dft_energy_ev_per_cell": -16.506, "cell": [[5.1924, 0.0081, 0.0000], [-1.7443, 4.8907, 0.0000], [0.0000, 0.0000, 2.8142]], "species": ["Hg", "Hg", "Pt", "Re"], "frac_coords": [[0.0000, 0.0000, 0.0000], [0.5000, 0.5000, 0.0000], [0.5000, 0.0000, 0.5000], [0.0000, 0.5000, 0.5000]]}

(6)
{"formula": "ReHg2Pt", "functional": "PBE", "state": "relaxed", "de_polymorph_mev_per_atom": 422, "formation_energy_ev_per_atom": 0.768, "spacegroup": "I-4m2 (119)", "magnetic_moment_mub_per_atom": 0.59, "dft_energy_ev_per_cell": -16.021, "cell": [[4.9351, -0.1846, 0.0000], [1.2903, 4.7670, 0.0000], [-3.1127, -2.2912, 3.0742]], "species": ["Hg", "Hg", "Pt", "Re"], "frac_coords": [[0.0000, 0.0000, 0.0000], [0.2500, 0.7500, 0.5000], [0.5000, 0.5000, 0.0000], [0.7500, 0.2500, 0.5000]]}